# PBE Ho2Sc2Co2S, optimized geometry
# Total moment in μB per cell: 0.000
# ΔE_f (raw) in eV/atom: -0.66
data_Ho2Sc2Co2S
_chemical_formula_sum 'Ho4 Sc4 Co4 S2'
_space_group_name_H-M_alt 'C 1 2/m 1'
_space_group_IT_number 12
_space_group_name_Hall '-C 2y'
_cell_length_a 12.289
_cell_length_b 3.681
_cell_length_c 7.788
_cell_angle_alpha 90.00
_cell_angle_beta 122.44
_cell_angle_gamma 90.00
loop_
_atom_site_label
_atom_site_fract_x
_atom_site_fract_y
_atom_site_fract_z
_atom_site_occupancy
Ho1 0.046 0.000 0.273 1
Sc1 0.222 0.500 0.825 1
Co1 0.108 0.500 0.060 1
S1 0.000 0.500 0.500 1